[1]
DFT (PBE-GGA) results for a geometry-optimized La2TePb2 structure.

a = 8.677 Å, b = 8.677 Å, c = 4.442 Å
α = 90.00°, β = 90.00°, γ = 90.00°
Element x y z (fractional)
La 0.183 0.317 0.000
La 0.317 0.817 0.000
La 0.683 0.183 0.000
La 0.817 0.683 0.000
Te 0.000 0.000 0.500
Te 0.500 0.500 0.500
Pb 0.122 0.622 0.500
Pb 0.378 0.122 0.500
Pb 0.622 0.878 0.500
Pb 0.878 0.378 0.500

Space group ... No. 127
Density of states at the Fermi level ... 1.852 states/eV/f.u.
E_tot ... -4.70 eV/atom
Size of the total moment ... 0.00 Bohr magnetons per cell
Energy above the lowest structure with this stoichiometry ... 170.1 meV/atom
Energy relative to the elements, uncorrected ... -0.6181 eV/atom



[2]
DFT (PBE-GGA) results for a geometry-optimized La6TlTe3Pb2 structure.

a = 10.444 Å, b = 10.444 Å, c = 9.319 Å
α = 104.91°, β = 104.91°, γ = 25.61°
Element x y z (fractional)
La 0.001 0.001 0.247
La 0.332 0.332 0.922
La 0.333 0.333 0.417
La 0.667 0.667 0.583
La 0.668 0.668 0.078
La 0.999 0.999 0.753
Tl 0.500 0.500 0.500
Te 0.168 0.168 0.331
Te 0.500 0.500 0.000
Te 0.832 0.832 0.669
Pb 0.165 0.165 0.828
Pb 0.835 0.835 0.172

Space group ... No. 12
Density of states at the Fermi level ... 8.535 states/eV/f.u.
E_tot ... -5.12 eV/atom
Size of the total moment ... 0.00 Bohr magnetons per cell
Energy relative to the elements, uncorrected ... -1.0511 eV/atom



[3]
DFT (PBE-GGA) results for a geometry-optimized La2TlTe6Pb3 structure.

a = 10.384 Å, b = 10.384 Å, c = 9.337 Å
α = 102.29°, β = 102.29°, γ = 26.19°
Element x y z (fractional)
La 0.167 0.167 0.333
La 0.833 0.833 0.667
Tl 0.500 0.500 0.000
Te 0.006 0.006 0.263
Te 0.325 0.325 0.907
Te 0.332 0.332 0.419
Te 0.668 0.668 0.581
Te 0.675 0.675 0.093
Te 0.994 0.994 0.737
Pb 0.160 0.160 0.845
Pb 0.500 0.500 0.500
Pb 0.840 0.840 0.155

Space group ... No. 12
Density of states at the Fermi level ... 5.896 states/eV/f.u.
E_tot ... -4.31 eV/atom
Size of the total moment ... 0.00 Bohr magnetons per cell
Energy relative to the elements, uncorrected ... -0.7935 eV/atom



[4]
DFT (PBE-GGA) results for a geometry-optimized La6Tl2Te3Pb structure.

a = 10.732 Å, b = 10.732 Å, c = 9.190 Å
α = 112.06°, β = 112.06°, γ = 25.11°
Element x y z (fractional)
La 0.008 0.008 0.253
La 0.331 0.331 0.863
La 0.339 0.339 0.357
La 0.661 0.661 0.643
La 0.669 0.669 0.137
La 0.992 0.992 0.747
Tl 0.192 0.192 0.419
Tl 0.808 0.808 0.581
Te 0.164 0.164 0.886
Te 0.500 0.500 0.500
Te 0.836 0.836 0.114
Pb 0.500 0.500 0.000

Space group ... No. 12
Density of states at the Fermi level ... 6.110 states/eV/f.u.
E_tot ... -4.96 eV/atom
Size of the total moment ... 0.00 Bohr magnetons per cell
Energy relative to the elements, uncorrected ... -1.0107 eV/atom



[5]
DFT (PBE-GGA) results for a geometry-optimized LaYTePb structure.

a = 4.549 Å, b = 4.549 Å, c = 22.153 Å
α = 90.00°, β = 90.00°, γ = 120.00°
Element x y z (fractional)
La 0.000 0.000 0.000
La 0.333 0.667 0.667
La 0.667 0.333 0.333
Y 0.000 0.000 0.505
Y 0.333 0.667 0.172
Y 0.667 0.333 0.839
Te 0.000 0.000 0.757
Te 0.333 0.667 0.424
Te 0.667 0.333 0.091
Pb 0.000 0.000 0.249
Pb 0.333 0.667 0.915
Pb 0.667 0.333 0.582

Space group ... No. 160
Density of states at the Fermi level ... 1.400 states/eV/f.u.
E_tot ... -5.60 eV/atom
Size of the total moment ... 0.00 Bohr magnetons per cell
Energy relative to the elements, uncorrected ... -1.0372 eV/atom



[6]
DFT (PBE-GGA) results for a geometry-optimized La2ThPb structure.

a = 3.679 Å, b = 3.679 Å, c = 9.735 Å
α = 90.00°, β = 90.00°, γ = 90.00°
Element x y z (fractional)
La 0.000 0.000 0.243
La 0.000 0.000 0.757
Th 0.500 0.500 0.500
Pb 0.500 0.500 0.000

Space group ... No. 123
Density of states at the Fermi level ... 3.491 states/eV/f.u.
E_tot ... -5.49 eV/atom
Size of the total moment ... 0.00 Bohr magnetons per cell
Energy of formation from the pure elements ... -0.241 eV per atom
Energy above the lowest structure with this stoichiometry ... 45.7 meV/atom



[7]
DFT (PBE-GGA) results for a geometry-optimized La2ThPb3 structure.

a = 3.654 Å, b = 3.654 Å, c = 13.927 Å
α = 90.00°, β = 90.00°, γ = 90.00°
Element x y z (fractional)
La 0.000 0.000 0.168
La 0.000 0.000 0.832
Th 0.000 0.000 0.500
Pb 0.500 0.500 0.000
Pb 0.500 0.500 0.336
Pb 0.500 0.500 0.664

Space group ... No. 123
Density of states at the Fermi level ... 4.581 states/eV/f.u.
E_tot ... -5.22 eV/atom
Size of the total moment ... 0.00 Bohr magnetons per cell
Energy of formation from the pure elements ... -0.487 eV per atom
Energy above the lowest structure with this stoichiometry ... 0.0 meV/atom



[8]
DFT (PBE-GGA) results for a geometry-optimized La2Th3Pb4 structure.

a = 8.718 Å, b = 8.703 Å, c = 8.453 Å
α = 90.00°, β = 111.64°, γ = 90.00°
Element x y z (fractional)
La 0.193 0.175 0.059
La 0.193 0.325 0.559
La 0.807 0.675 0.441
La 0.807 0.825 0.941
Th 0.247 0.670 0.237
Th 0.247 0.830 0.737
Th 0.500 0.000 0.500
Th 0.500 0.500 0.000
Th 0.753 0.170 0.263
Th 0.753 0.330 0.763
Pb 0.084 0.532 0.833
Pb 0.084 0.968 0.333
Pb 0.485 0.137 0.862
Pb 0.485 0.363 0.362
Pb 0.515 0.637 0.638
Pb 0.515 0.863 0.138
Pb 0.916 0.032 0.667
Pb 0.916 0.468 0.167

Space group ... No. 14
Density of states at the Fermi level ... 10.340 states/eV/f.u.
E_tot ... -5.65 eV/atom
Size of the total moment ... 0.00 Bohr magnetons per cell
Energy of formation from the pure elements ... -0.436 eV per atom



[9]
DFT (PBE-GGA) results for a geometry-optimized La2ThPb3 structure.

a = 4.645 Å, b = 6.576 Å, c = 13.961 Å
α = 90.00°, β = 90.00°, γ = 90.00°
Element x y z (fractional)
La 0.000 0.000 0.169
La 0.000 0.000 0.831
La 0.500 0.500 0.331
La 0.500 0.500 0.669
Th 0.000 0.000 0.500
Th 0.500 0.500 0.000
Pb 0.000 0.500 0.162
Pb 0.000 0.500 0.500
Pb 0.000 0.500 0.838
Pb 0.500 0.000 0.000
Pb 0.500 0.000 0.338
Pb 0.500 0.000 0.662

Space group ... No. 71
Density of states at the Fermi level ... 6.474 states/eV/f.u.
E_tot ... -5.13 eV/atom
Size of the total moment ... 0.00 Bohr magnetons per cell
Energy of formation from the pure elements ... -0.393 eV per atom
Energy above the lowest structure with this stoichiometry ... 94.4 meV/atom



[10]
DFT (PBE-GGA) results for a geometry-optimized La3ThPb5 structure.

a = 9.937 Å, b = 9.937 Å, c = 6.750 Å
α = 90.00°, β = 90.00°, γ = 120.00°
Element x y z (fractional)
La 0.000 0.378 0.250
La 0.000 0.622 0.750
La 0.378 0.000 0.250
La 0.378 0.378 0.750
La 0.622 0.000 0.750
La 0.622 0.622 0.250
Th 0.000 0.000 0.000
Th 0.000 0.000 0.500
Pb 0.000 0.291 0.750
Pb 0.000 0.709 0.250
Pb 0.291 0.000 0.750
Pb 0.291 0.291 0.250
Pb 0.333 0.667 0.000
Pb 0.333 0.667 0.500
Pb 0.667 0.333 0.000
Pb 0.667 0.333 0.500
Pb 0.709 0.000 0.250
Pb 0.709 0.709 0.750

Space group ... No. 193
Density of states at the Fermi level ... 10.556 states/eV/f.u.
E_tot ... -5.01 eV/atom
Size of the total moment ... 0.00 Bohr magnetons per cell
Energy of formation from the pure elements ... -0.488 eV per atom



[11]
DFT (PBE-GGA) results for a geometry-optimized LaTh2Pb structure.

a = 4.977 Å, b = 4.977 Å, c = 5.065 Å
α = 90.00°, β = 90.00°, γ = 90.00°
Element x y z (fractional)
La 0.000 0.000 0.000
Th 0.000 0.500 0.500
Th 0.500 0.000 0.500
Pb 0.500 0.500 0.000

Space group ... No. 123
Density of states at the Fermi level ... 4.629 states/eV/f.u.
E_tot ... -6.08 eV/atom
Size of the total moment ... 0.00 Bohr magnetons per cell
Energy of formation from the pure elements ... -0.210 eV per atom
Energy above the lowest structure with this stoichiometry ... 0.0 meV/atom



[12]
DFT (PBE-GGA) results for a geometry-optimized La4ThPb5 structure.

a = 3.672 Å, b = 3.672 Å, c = 23.194 Å
α = 90.00°, β = 90.00°, γ = 90.00°
Element x y z (fractional)
La 0.000 0.000 0.101
La 0.000 0.000 0.301
La 0.000 0.000 0.699
La 0.000 0.000 0.899
Th 0.000 0.000 0.500
Pb 0.500 0.500 0.000
Pb 0.500 0.500 0.201
Pb 0.500 0.500 0.402
Pb 0.500 0.500 0.598
Pb 0.500 0.500 0.799

Space group ... No. 123
Density of states at the Fermi level ... 9.504 states/eV/f.u.
E_tot ... -5.09 eV/atom
Size of the total moment ... 0.00 Bohr magnetons per cell
Energy of formation from the pure elements ... -0.526 eV per atom



density of states at the Fermi level of number 10 (La3ThPb5)? 10.556 states/eV/f.u.